The following is a PBE-GGA calculation of LiCa3Pr3Te8 after structural relaxation, from Alexandria via LeMat-Bulk.

Total magnetic moment = 0.00 μB per cell
SG = R-3m, No. 166
N(E_F) = 0.007 states/eV/atom
Formation energy (no corrections) = -1413.7 meV per atom

Cell: 9.0298 9.0298 9.0298 Å, 59.89 59.89 59.89°
Atoms (fractional coordinates):
1 Li 0.0000 0.0000 0.0000
2 Ca 0.0000 0.0000 0.5000
3 Ca 0.0000 0.5000 0.0000
4 Ca 0.5000 0.0000 0.0000
5 Pr 0.0000 0.5000 0.5000
6 Pr 0.5000 0.0000 0.5000
7 Pr 0.5000 0.5000 0.0000
8 Te 0.2452 0.2452 0.7537
9 Te 0.2452 0.7537 0.2452
10 Te 0.2463 0.7548 0.7548
11 Te 0.2486 0.2486 0.2486
12 Te 0.7514 0.7514 0.7514
13 Te 0.7537 0.2452 0.2452
14 Te 0.7548 0.2463 0.7548
15 Te 0.7548 0.7548 0.2463